K2Na2CdHg | PBE-GGA | optimized geometry

Structure (POSCAR):
```
K2Na2CdHg
1.0
-3.806 8.416 3.808
3.806 -8.416 3.808
3.806 8.416 -3.808
K Na Cd Hg
4 4 2 2
Direct
0.156 0.249 0.405 K
0.344 0.749 0.093 K
0.656 0.251 0.907 K
0.844 0.751 0.595 K
0.102 0.755 0.857 Na
0.398 0.255 0.653 Na
0.602 0.745 0.347 Na
0.898 0.245 0.143 Na
0.250 0.750 0.500 Cd
0.750 0.250 0.500 Cd
0.250 0.250 0.000 Hg
0.750 0.750 0.000 Hg
```

Output
ρ (g/cm³): 2.98
Symmetry: Ibam, No. 72
Calculated formation energy (eV per atom): -0.073

=====

SrIn4Ag | PBE-GGA | optimized geometry

Structure (POSCAR):
```
SrIn4Ag
1.0
0.000 4.376 4.376
4.376 0.000 4.376
4.376 4.376 0.000
Sr In Ag
1 4 1
Direct
0.000 0.000 0.000 Sr
0.375 0.375 0.375 In
0.375 0.375 0.875 In
0.375 0.875 0.375 In
0.875 0.375 0.375 In
0.750 0.750 0.750 Ag
```

Output
ρ (g/cm³): 6.49
Symmetry: F-43m, No. 216
Calculated formation energy (eV per atom): -0.052

=====

AgI2Br2 | PBE-GGA | optimized geometry

Structure (POSCAR):
```
AgI2Br2
1.0
8.024 0.000 0.000
0.000 8.023 0.000
-3.938 0.000 6.879
Ag I Br
2 4 4
Direct
0.000 0.000 0.000 Ag
0.500 0.500 0.000 Ag
0.101 0.500 0.200 I
0.399 0.000 0.800 I
0.601 0.000 0.200 I
0.899 0.500 0.800 I
0.178 0.000 0.357 Br
0.322 0.500 0.643 Br
0.678 0.500 0.357 Br
0.822 0.000 0.643 Br
```

Output
Polymorph energy (0 for the lowest one) (eV/atom): 0.073
ρ (g/cm³): 3.91
Symmetry: C2/m, No. 12

=====

Number 1: calculated volume 487.9 Å³/cell, size of the total moment 0.0000 μB per atom, total DFT energy (no corrections) -1.08 eV per atom. Number 2: calculated volume 167.6 Å³/cell, size of the total moment 0.0000 μB per atom, total DFT energy (no corrections) -2.63 eV per atom. Number 3: calculated volume 442.8 Å³/cell, size of the total moment 0.0000 μB per atom, total DFT energy (no corrections) -1.82 eV per atom.